--- 1 ---
Here is crystalline HoErZrSc at its relaxed geometry from Alexandria via LeMat-Bulk. Energies are from GGA-PBE.

Values from the calculation:
The value obtained for the volume is 26.7 Å³/atom. Its space-group type is No. 119.

```
4
Lattice="-2.375 2.375 4.738 2.375 -2.375 4.738 2.375 2.375 -4.738" Properties=species:S:1:pos:R:3 pbc="T T T"
Ho 0.000 0.000 0.000
Er 2.375 0.000 2.369
Zr 0.000 2.375 2.369
Sc 0.000 0.000 4.738
```


--- 2 ---
Here is crystalline HoErZrSc at its relaxed geometry from Alexandria via LeMat-Bulk. Energies are from GGA-PBE.

Values from the calculation:
The value obtained for the volume is 27.0 Å³/atom. Its space-group type is No. 216.

```
4
Lattice="0.000 3.779 3.779 3.779 0.000 3.779 3.779 3.779 0.000" Properties=species:S:1:pos:R:3 pbc="T T T"
Ho 0.000 0.000 0.000
Er 5.669 5.669 5.669
Zr 3.779 3.779 3.779
Sc 1.890 1.890 1.890
```


Unit: eV/atom. Relative energies: 1 0.000; 2 0.116.